Record 1
Below is a geometry-optimized Li3Pt structure, with properties calculated at the PBEsol level.

Structure (POSCAR):
```
Li3Pt
1.0
-3.342 1.985 2.088
1.315 -2.555 4.532
2.156 4.789 -1.103
Pt Li
2 6
Direct
0.750 0.667 0.333
0.250 0.333 0.667
0.250 0.823 0.177
0.250 0.823 0.647
0.750 0.647 0.823
0.750 0.177 0.353
0.750 0.177 0.823
0.250 0.353 0.177
```

DOS(E_F) in states/eV per cell: 1.92
Space-group type: No. 194
Energy relative to the elements in eV/atom: -0.34

***

Record 2
Below is a geometry-optimized Ba3Ge2N2 structure, with properties calculated at the PBEsol level.

Structure (POSCAR):
```
Ba3Ge2N2
1.0
4.018 0.000 0.000
0.000 9.595 -0.003
0.000 -4.055 9.240
Ba Ge N
6 4 4
Direct
0.250 0.973 0.826
0.750 0.027 0.174
0.250 0.385 0.144
0.750 0.615 0.856
0.250 0.188 0.559
0.750 0.812 0.441
0.750 0.249 0.847
0.750 0.421 0.444
0.250 0.751 0.153
0.250 0.579 0.556
0.250 0.819 0.001
0.750 0.181 0.999
0.250 0.929 0.325
0.750 0.071 0.675
```

DOS(E_F) in states/eV per cell: 3.52
Space-group type: No. 11
VASP energy in eV per atom: -5.437

***

Record 3
Below is a geometry-optimized Li3MnO3 structure, with properties calculated at the PBEsol level.

Structure (POSCAR):
```
Li3MnO3
1.0
3.511 0.000 0.000
0.000 8.862 0.000
0.000 0.000 8.862
Li Mn O
12 4 12
Direct
0.000 0.171 0.171
0.500 0.329 0.671
0.500 0.671 0.329
0.000 0.829 0.829
0.500 0.097 0.357
0.000 0.143 0.597
0.500 0.357 0.097
0.000 0.403 0.857
0.000 0.597 0.143
0.500 0.643 0.903
0.000 0.857 0.403
0.500 0.903 0.643
0.000 0.616 0.616
0.500 0.884 0.116
0.500 0.116 0.884
0.000 0.384 0.384
0.500 0.102 0.102
0.000 0.398 0.602
0.000 0.602 0.398
0.500 0.898 0.898
0.500 0.112 0.678
0.000 0.178 0.388
0.500 0.322 0.888
0.000 0.388 0.178
0.000 0.612 0.822
0.500 0.678 0.112
0.000 0.822 0.612
0.500 0.888 0.322
```

DOS(E_F) in states/eV per cell: 7.22
Space-group type: No. 136
VASP energy in eV per atom: -6.312

***

Number 1: total moment 0.00 μB/atom. Number 2: total moment 0.00 μB/atom. Number 3: total moment 0.56 μB/atom.